A plane-wave DFT calculation with PBE was carried out for a relaxed RbVInCl4 crystal.

The calculation puts the final energy at -57.06 eV/cell. The uncorrected formation energy comes out at -1.19 eV/atom. The calculation puts the density of states at the Fermi level at 0.0040 states/eV/atom. Its spin magnetization is 3.0 μB per formula unit.

abc: 6.223 7.318 9.481
angles: 90.00 102.91 90.00
Sites, in units of the cell vectors:
Rb  0.210  0.250  0.439
Rb  0.790  0.750  0.561
V  0.022  0.250  0.822
V  0.978  0.750  0.178
In  0.349  0.750  0.006
In  0.651  0.250  0.994
Cl  0.228  0.002  0.761
Cl  0.228  0.498  0.761
Cl  0.231  0.250  0.073
Cl  0.252  0.750  0.397
Cl  0.748  0.250  0.603
Cl  0.769  0.750  0.927
Cl  0.772  0.502  0.239
Cl  0.772  0.998  0.239